{"formula": "AcLa3Ce2Te6", "functional": "PBE", "state": "optimized geometry", "final_energy_ev_per_atom": -5.63, "lattice_angstrom": [[3.956, -6.862, 0.000], [3.956, 6.862, 0.000], [-2.647, 0.000, 7.523]], "species": ["Ac", "La", "La", "La", "Ce", "Ce", "Te", "Te", "Te", "Te", "Te", "Te"], "frac_coords": [[0.000, 0.000, 0.000], [0.161, 0.839, 0.500], [0.500, 0.500, 0.500], [0.839, 0.161, 0.500], [0.332, 0.668, 0.000], [0.668, 0.332, 0.000], [0.084, 0.426, 0.252], [0.261, 0.261, 0.754], [0.426, 0.084, 0.252], [0.574, 0.916, 0.748], [0.739, 0.739, 0.246], [0.916, 0.574, 0.748]]}